VASP calculation (PBE+U) on a relaxed structure of Ti2VAuF.

a b c (Å): 4.8352 3.8131 4.8352
angles (deg): 90.00 90.00 90.00
Last column: nearest neighbours and their distance in Å.
Positions (direct):
Ti 0.0000 0.0000 0.5000  2 V 2.42
V 0.0000 0.0000 0.0000  2 F 1.91
Ti 0.5000 0.0000 0.0000  2 V 2.42
Au 0.5000 0.5000 0.5000  8 Ti 3.08, 4 F 3.42
F 0.0000 0.5000 0.0000  2 V 1.91

Output
Its calculated total energy is -5.42 eV per atom. The space-group type is P4/mmm (123). The value obtained for the spin magnetization is 0.8 μB/cell.